# 1
GGA-PBE Lu2S3, relaxed; formation energy (no corrections) = -2.0214 eV/atom; mass density = 7.3 g/cm3; total energy = -6.306 eV per atom
1.0
10.4249 0.0000 0.0000
0.0000 3.7787 0.0000
0.0000 0.0000 10.3522
Lu S
8 12
Cartesian
0.1131 0.9447 1.9372 Lu
1.9995 0.9447 5.2136 Lu
3.2130 2.8340 0.0375 Lu
5.0993 2.8340 7.1133 Lu
5.3256 0.9447 3.2389 Lu
7.2119 0.9447 10.3147 Lu
8.4254 2.8340 5.1386 Lu
10.3118 2.8340 8.4149 Lu
0.4790 2.8340 3.8637 S
1.2338 0.9447 9.7760 S
2.3580 2.8340 7.1749 S
2.8544 0.9447 1.9988 S
3.9786 2.8340 4.5999 S
4.7334 0.9447 9.0398 S
5.6915 2.8340 1.3124 S
6.4463 0.9447 5.7522 S
7.5705 2.8340 8.3533 S
8.0669 0.9447 3.1773 S
9.1911 2.8340 0.5762 S
9.9459 0.9447 6.4885 S

---

# 2
GGA-PBE Na5Li2In4, relaxed; DOS(E_F) = 4.9 states/eV/cell; DFT formation energy = -124 meV per atom; mass density = 3.4 g/cm3; total energy = -2.068 eV per atom
1.0
8.7433 0.0000 0.0000
0.0000 3.1348 0.0000
-0.7873 0.0000 10.4756
Na Li In
5 2 4
Cartesian
0.0000 0.0000 0.0000 Na
0.1244 0.0000 3.5726 Na
2.4145 0.0000 9.0576 Na
5.5415 0.0000 1.4180 Na
7.8316 0.0000 6.9030 Na
3.4275 0.0000 3.9031 Li
4.5285 0.0000 6.5725 Li
1.9787 1.5674 6.0465 In
2.4868 1.5674 1.5526 In
5.4692 1.5674 8.9230 In
5.9773 1.5674 4.4291 In